Computed, not measured: a relaxed Cr2SiPb crystal at the PBE level of DFT.

```
Cr2SiPb
1.0
5.995 0.000 0.000
0.000 7.298 0.000
-0.434 0.000 3.023
Cr Si Pb
4 2 2
direct
0.250 0.250 0.000
0.250 0.750 0.000
0.750 0.250 0.000
0.750 0.750 0.000
0.000 0.000 0.500
0.500 0.500 0.500
0.000 0.500 0.500
0.500 0.000 0.500
```

## Properties
* space-group type: C2/m (12)
* relative energy among the computed polymorphs: 291.0 meV per atom
* total moment: 9.9 μB per cell
* raw formation energy: 626 meV/atom
* ρ: 8.52 g/cm³